(one)
This record from the Alexandria database describes crystalline K2NpS4 at its relaxed geometry. The functional is PBE-GGA.

Cell and atoms, written as extended XYZ:
```
14
Lattice="7.286 0.000 0.000 0.000 6.440 3.408 0.000 -0.514 8.759" Properties=species:S:1:pos:R:3 pbc="T T T"
S 1.824 4.832 2.557
S 5.467 4.828 2.555
K 0.000 3.776 8.444
S 0.000 0.631 6.597
S 3.643 2.076 3.866
Np 0.000 0.000 0.000
S 5.463 1.608 0.851
Np 3.643 3.220 1.704
S 1.820 1.612 0.853
S 0.000 5.296 5.571
K 3.643 5.372 5.428
S 3.643 3.851 8.302
K 0.000 2.151 3.724
K 3.643 0.555 6.740
```

As for the total magnetization: 1.97 μB/cell. The density of states at the Fermi level comes out at 10.4 states/eV/cell. As for the space group: No. 139.

(two)
This record from the Alexandria database describes crystalline K2NpS4 at its relaxed geometry. The functional is PBE-GGA.

Cell and atoms, written as extended XYZ:
```
14
Lattice="-3.187 2.340 -1.119 -3.850 -6.408 -2.432 -5.058 -1.355 11.578" Properties=species:S:1:pos:R:3 pbc="T T T"
K -5.438 -2.956 1.766
K -9.308 -5.865 6.708
Np -2.529 -0.677 5.789
S -4.624 -0.691 4.183
K -2.787 0.442 1.320
S -6.552 -5.090 8.023
S -3.886 -1.687 7.543
Np -1.925 -3.204 -1.216
S -4.520 -3.351 -1.678
S -2.356 -2.673 1.123
S -7.575 -2.071 9.706
S -5.022 -6.075 1.603
S -7.471 -4.732 3.844
K -6.657 -2.467 6.262
```

As for the total magnetization: 1.99 μB/cell. The density of states at the Fermi level comes out at 10.5 states/eV/cell. As for the space group: No. 55.

Q: Which of them is the most stable? A: (one).

(one)
This record from the Alexandria database describes crystalline KNpSe3 at its relaxed geometry. The functional is PBE-GGA.

Cell and atoms, written as extended XYZ:
```
10
Lattice="-3.662 1.896 -0.539 0.018 -6.222 -5.958 -3.829 -5.078 8.153" Properties=species:S:1:pos:R:3 pbc="T T T"
K -3.829 -2.293 1.903
Se -1.340 -3.759 -4.116
Se -5.442 -5.351 2.109
Se -6.134 -5.645 5.771
Np -3.579 -3.073 -2.535
K -3.645 -7.111 -0.247
Se -2.790 -4.046 4.724
Se -2.031 -4.053 -0.454
Se -4.683 -5.358 -3.069
Np -3.894 -6.331 4.191
```

As for the total magnetization: 3.99 μB/cell. The density of states at the Fermi level comes out at 14.4 states/eV/cell. As for the space group: No. 12.

(two)
This record from the Alexandria database describes crystalline KNpSe3 at its relaxed geometry. The functional is PBE-GGA.

Cell and atoms, written as extended XYZ:
```
10
Lattice="5.540 0.000 0.000 -2.770 6.803 -0.215 0.000 -2.114 8.855" Properties=species:S:1:pos:R:3 pbc="T T T"
Se 0.000 0.548 5.574
K 2.770 0.797 3.449
Se 0.000 4.521 0.383
Se 2.770 4.141 3.065
Se 0.000 0.676 1.642
Np 2.770 4.861 0.564
Se 2.770 0.168 8.256
Se 2.770 4.013 6.997
K 0.000 3.892 5.191
Np 0.000 -0.172 8.075
```

As for the total magnetization: 4.00 μB/cell. The density of states at the Fermi level comes out at 18.2 states/eV/cell. As for the space group: No. 12.

Q: Which of them is the most stable? A: (one).

(one)
This record from the Alexandria database describes crystalline K2Np2Se5 at its relaxed geometry. The functional is PBE-GGA.

Cell and atoms, written as extended XYZ:
```
18
Lattice="-5.121 -5.987 -0.563 1.856 -2.276 7.323 -6.779 5.865 -0.710" Properties=species:S:1:pos:R:3 pbc="T T T"
Se -8.636 -1.788 2.871
K -2.524 1.650 5.403
K -2.399 1.938 1.210
Np -1.820 -5.864 5.780
Np -1.444 -2.400 0.980
Se -8.494 0.602 -0.673
K -4.031 -2.194 4.591
Se -4.355 -3.130 1.369
Se -1.632 -4.132 3.380
Np 0.406 -2.460 4.743
Se -1.550 -3.001 6.723
Se -5.546 3.120 1.137
Se -1.408 -0.611 3.179
Se -5.688 0.731 4.681
Se -4.497 -5.519 4.913
Se 0.000 0.000 0.000
K -6.012 -0.205 1.460
Np -3.670 -5.803 2.017
```

As for the total magnetization: 12.00 μB/cell. The density of states at the Fermi level comes out at 33.0 states/eV/cell. As for the space group: No. 64.

(two)
This record from the Alexandria database describes crystalline K2Np2Se5 at its relaxed geometry. The functional is PBE-GGA.

Cell and atoms, written as extended XYZ:
```
9
Lattice="-3.850 -5.479 -0.316 -0.312 2.807 -6.081 8.062 -2.740 1.010" Properties=species:S:1:pos:R:3 pbc="T T T"
Se 4.310 -1.641 -4.675
Se 1.358 0.371 -3.595
Np -1.187 0.759 -4.656
K 1.219 -3.586 -4.406
Se 2.541 -5.784 -1.792
Se -0.411 -3.772 -0.712
Np -2.976 -3.431 -1.741
Se 0.000 0.000 0.000
K 2.680 -1.827 -0.981
```

As for the total magnetization: 6.00 μB/cell. The density of states at the Fermi level comes out at 18.3 states/eV/cell. As for the space group: No. 69.

Q: Which of them is the most stable? A: (one).

(one)
This record from the Alexandria database describes crystalline K3NpSe4 at its relaxed geometry. The functional is PBE-GGA.

Cell and atoms, written as extended XYZ:
```
16
Lattice="-4.251 -0.927 6.126 -1.877 -5.656 -5.509 6.338 -5.567 3.556" Properties=species:S:1:pos:R:3 pbc="T T T"
K -0.205 -6.967 4.040
Se 0.417 -6.269 -2.868
Se 0.265 -1.656 -0.706
Np 2.396 -5.600 7.727
K 3.598 -7.977 1.918
Se 3.209 -6.572 5.201
K 0.415 -5.182 0.133
K -0.753 -2.834 5.961
K -3.387 -4.172 2.255
Se 0.494 -8.667 1.430
Se -0.206 -5.880 7.041
Se -0.054 -10.493 4.879
K 2.840 -3.659 3.721
Se -2.998 -5.577 -1.028
Np -0.309 -0.893 1.954
Se -0.283 -3.482 2.742
```

As for the total magnetization: 4.00 μB/cell. The density of states at the Fermi level comes out at 12.0 states/eV/cell. As for the space group: No. 13.

(two)
This record from the Alexandria database describes crystalline K3NpSe4 at its relaxed geometry. The functional is PBE-GGA.

Cell and atoms, written as extended XYZ:
```
8
Lattice="8.249 0.000 0.000 0.000 8.249 0.000 0.000 0.000 8.249" Properties=species:S:1:pos:R:3 pbc="T T T"
K 4.125 0.000 0.000
Se 6.729 6.729 1.520
K 0.000 4.125 0.000
Se 6.729 1.520 6.729
Se 1.520 1.520 1.520
Np 0.000 0.000 0.000
K 0.000 0.000 4.125
Se 1.520 6.729 6.729
```

As for the total magnetization: 2.00 μB/cell. The density of states at the Fermi level comes out at 12.2 states/eV/cell. As for the space group: No. 215.

Q: Which of them is the most stable? A: (one).

(one)
This record from the Alexandria database describes crystalline K2NpTe3 at its relaxed geometry. The functional is PBE-GGA.

Cell and atoms, written as extended XYZ:
```
12
Lattice="7.866 0.053 0.091 -1.684 8.117 -0.015 -1.684 -4.037 7.041" Properties=species:S:1:pos:R:3 pbc="T T T"
Np 0.283 3.185 2.879
Te 2.885 2.106 1.706
Te 1.613 2.026 5.410
K 0.283 7.178 0.560
Te -2.320 3.668 4.396
K 4.216 5.310 1.705
Te 6.818 0.464 2.720
K 0.283 -1.178 5.411
Te 3.091 -1.992 3.566
Te -0.842 4.058 -0.008
Np 4.216 0.947 4.238
K 4.216 -3.046 6.557
```

As for the total magnetization: 6.00 μB/cell. The density of states at the Fermi level comes out at 20.4 states/eV/cell. As for the space group: No. 15.

(two)
This record from the Alexandria database describes crystalline K2NpTe3 at its relaxed geometry. The functional is PBE-GGA.

Cell and atoms, written as extended XYZ:
```
12
Lattice="7.167 -0.338 3.716 2.731 8.036 1.416 0.360 -0.169 8.075" Properties=species:S:1:pos:R:3 pbc="T T T"
Np 5.025 -0.338 7.848
Te 5.553 6.079 7.843
K 2.725 3.849 6.856
Te 7.189 6.119 3.727
Np 2.503 -0.169 3.943
K 7.534 3.680 6.350
Te 4.706 1.451 5.364
K 0.000 0.000 0.000
Te 2.710 1.580 1.405
Te 7.456 1.282 8.829
K 4.949 3.849 2.566
Te 2.803 6.247 4.377
```

As for the total magnetization: 6.00 μB/cell. The density of states at the Fermi level comes out at 15.8 states/eV/cell. As for the space group: No. 12.

Q: Which of them is the most stable? A: (two).

(one)
This record from the Alexandria database describes crystalline KNpTe3 at its relaxed geometry. The functional is PBE-GGA.

Cell and atoms, written as extended XYZ:
```
5
Lattice="5.884 0.000 0.000 0.000 5.884 0.000 0.000 0.000 5.884" Properties=species:S:1:pos:R:3 pbc="T T T"
Np 0.000 0.000 0.000
Te 2.942 0.000 0.000
Te 0.000 2.942 0.000
K 2.942 2.942 2.942
Te 0.000 0.000 2.942
```

As for the total magnetization: 2.14 μB/cell. The density of states at the Fermi level comes out at 11.0 states/eV/cell. As for the space group: No. 221.

(two)
This record from the Alexandria database describes crystalline KNpTe3 at its relaxed geometry. The functional is PBE-GGA.

Cell and atoms, written as extended XYZ:
```
10
Lattice="-1.325 1.014 3.948 -4.769 -7.656 0.366 7.161 -4.293 3.505" Properties=species:S:1:pos:R:3 pbc="T T T"
Np 4.895 -5.398 6.518
Te 0.621 -1.036 1.637
Te -2.798 -6.044 4.103
Np -3.827 -5.537 1.301
Te -1.112 -3.817 1.770
K 0.041 -7.856 3.195
Te 0.447 -9.900 6.182
Te 2.180 -7.118 6.049
Te 3.865 -4.891 3.716
K 1.026 -3.079 4.625
```

As for the total magnetization: 6.47 μB/cell. The density of states at the Fermi level comes out at 22.1 states/eV/cell. As for the space group: No. 59.

Q: Which of them is the most stable? A: (two).